Compound: CsKBeAu2
Source: the Alexandria database
Functional: SCAN
Structure: PBEsol geometry

abc: 5.8528 5.8528 6.4370
angles: 90.00 90.00 90.00
Sites, in units of the cell vectors:
K 0.0000 0.0000 0.0000
Be 0.5000 0.5000 0.5000
Cs 0.0000 0.0000 0.5000
Au 0.0000 0.5000 0.0000
Au 0.5000 0.0000 0.0000

Summary:
**Space group**: P4/mmm
**Total moment**: 0.00 μB per formula unit
**Total DFT energy (no corrections)**: -36.9379 eV per atom

Compound: BeCuAu2
Source: the Alexandria database
Functional: SCAN
Structure: PBEsol geometry

abc: 2.9722 4.1478 5.0359
angles: 114.08 107.16 90.00
Sites, in units of the cell vectors:
Au 0.7859 0.2870 0.5718
Au 0.0013 0.0009 0.0027
Be 0.5019 0.4999 0.0037
Cu 0.2109 0.7121 0.4218

Summary:
**Space group**: Cm
**Fermi-level density of states**: 0.8 states/eV/cell
**Total moment**: 0.00 μB per formula unit
**Total DFT energy (no corrections)**: -39.6248 eV per atom

Compound: BeCuAu
Source: the Alexandria database
Functional: SCAN
Structure: PBEsol geometry

abc: 2.8815 2.8815 4.8170
angles: 107.40 107.40 90.00
Sites, in units of the cell vectors:
Be 0.3236 0.3236 0.6473
Au 0.9876 0.9876 0.9752
Cu 0.6888 0.6888 0.3775

Summary:
**Space group**: I4mm
**Fermi-level density of states**: 0.7 states/eV/cell
**Total moment**: 0.00 μB per formula unit
**Offset from the most stable computed form**: 0 meV/atom
**Total DFT energy (no corrections)**: -29.7663 eV per atom

Compound: BeCuAu2
Source: the Alexandria database
Functional: SCAN
Structure: PBEsol geometry

abc: 2.8712 2.8712 6.4721
angles: 90.00 90.00 90.00
Sites, in units of the cell vectors:
Au 0.0000 0.0000 0.9707
Au 0.5000 0.5000 0.3018
Be 0.0000 0.0000 0.5192
Cu 0.5000 0.5000 0.7082

Summary:
**Space group**: P4mm
**Fermi-level density of states**: 1.2 states/eV/cell
**Total moment**: 0.00 μB per formula unit
**Total DFT energy (no corrections)**: -39.6291 eV per atom

no.,formation energy (meV/atom)
1,823
2,-158
3,-196
4,-162